DFT (PBE-GGA) results for crystalline Ca2HoUP4 at its relaxed geometry.

Cell: 6.969 4.058 7.034 Å, 90.00 109.14 90.00°
Sites, in units of the cell vectors:
Ca 0.000 0.000 0.000
Ca 0.500 0.500 0.000
Ho 0.000 0.500 0.500
U 0.500 0.000 0.500
P 0.255 0.000 0.729
P 0.265 0.500 0.274
P 0.735 0.500 0.726
P 0.745 0.000 0.271

Calculated formation energy ... -1216 meV/atom
Crystal system ... monoclinic
SG ... P2/m, No. 10

DFT (PBE-GGA) results for crystalline Ca3HoU2P6 at its relaxed geometry.

Cell: 6.994 6.994 7.035 Å, 99.54 99.54 119.98°
Sites, in units of the cell vectors:
Ca 0.000 0.000 0.000
Ca 0.335 0.665 0.000
Ca 0.665 0.335 0.000
Ho 0.500 0.500 0.500
U 0.167 0.833 0.500
U 0.833 0.167 0.500
P 0.082 0.424 0.273
P 0.234 0.234 0.728
P 0.424 0.082 0.273
P 0.576 0.918 0.727
P 0.766 0.766 0.272
P 0.918 0.576 0.727

Calculated formation energy ... -1172 meV/atom
Crystal system ... monoclinic
SG ... C2/m, No. 12

DFT (PBE-GGA) results for crystalline Ca3Ho2PaSb6 at its relaxed geometry.

Cell: 7.689 7.689 7.758 Å, 99.50 99.50 120.02°
Sites, in units of the cell vectors:
Ca 0.000 0.000 0.000
Ca 0.331 0.669 0.000
Ca 0.669 0.331 0.000
Ho 0.166 0.834 0.500
Ho 0.834 0.166 0.500
Pa 0.500 0.500 0.500
Sb 0.092 0.422 0.264
Sb 0.250 0.250 0.736
Sb 0.422 0.092 0.264
Sb 0.578 0.908 0.736
Sb 0.750 0.750 0.264
Sb 0.908 0.578 0.736

ΔE_f (raw) ... -10.9 eV per formula unit
Crystal system ... monoclinic
SG ... C2/m, No. 12